Record 1
Below is BeNbAsO after structural relaxation, with properties calculated at the PBE level.

abc: 3.523 3.523 8.123
angles: 90.00 90.00 90.00
Fractional positions:
Be1 0.250 0.750 0.000
Be2 0.750 0.250 0.000
Nb1 0.250 0.250 0.343
Nb2 0.750 0.750 0.657
As1 0.250 0.250 0.812
As2 0.750 0.750 0.188
O1 0.250 0.750 0.500
O2 0.750 0.250 0.500

SG: P4/nmm, No. 129
energy above the lowest structure with this stoichiometry: 406 meV/atom



Record 2
Below is RbPrBeS3 after structural relaxation, with properties calculated at the PBE level.

abc: 7.630 7.630 10.933
angles: 90.00 90.00 149.30
Fractional positions:
Rb1 0.242 0.758 0.750
Rb2 0.758 0.242 0.250
Pr1 0.500 0.500 0.000
Pr2 0.500 0.500 0.500
Be1 0.040 0.960 0.250
Be2 0.960 0.040 0.750
S1 0.117 0.883 0.090
S2 0.117 0.883 0.410
S3 0.449 0.551 0.250
S4 0.551 0.449 0.750
S5 0.883 0.117 0.590
S6 0.883 0.117 0.910

DFT total energy: -5.14 eV/atom
SG: Cmcm, No. 63



Record 3
Below is Ho2TmMg3Al2Zn after structural relaxation, with properties calculated at the PBE level.

abc: 4.438 7.310 7.310
angles: 119.72 90.00 90.00
Fractional positions:
Ho1 0.000 0.211 0.789
Ho2 0.000 0.789 0.211
Tm1 0.000 0.632 0.632
Mg1 0.500 0.211 0.453
Mg2 0.500 0.453 0.211
Mg3 0.500 0.970 0.970
Al1 0.500 0.545 0.877
Al2 0.500 0.877 0.545
Zn1 0.000 0.213 0.213

DFT total energy: -3.31 eV/atom
SG: Amm2, No. 38



Record 4
Below is YEr2Fe7Ni2 after structural relaxation, with properties calculated at the PBE level.

abc: 8.678 8.678 8.678
angles: 33.48 33.48 33.48
Fractional positions:
Y1 0.000 0.000 0.000
Er1 0.142 0.142 0.142
Er2 0.858 0.858 0.858
Fe1 0.083 0.583 0.583
Fe2 0.417 0.417 0.917
Fe3 0.417 0.917 0.417
Fe4 0.500 0.500 0.500
Fe5 0.583 0.083 0.583
Fe6 0.583 0.583 0.083
Fe7 0.917 0.417 0.417
Ni1 0.333 0.333 0.333
Ni2 0.667 0.667 0.667

DFT formation energy: -152 meV per atom
SG: R-3m, No. 166



Record 5
Below is DyAsIrO after structural relaxation, with properties calculated at the PBE level.

abc: 3.140 7.953 5.309
angles: 90.00 90.00 90.00
Fractional positions:
Dy1 0.000 0.127 0.000
Dy2 0.000 0.873 0.500
As1 0.000 0.481 0.688
As2 0.000 0.519 0.188
Ir1 0.500 0.265 0.558
Ir2 0.500 0.735 0.058
O1 0.500 0.054 0.314
O2 0.500 0.946 0.814

DFT total energy: -7.04 eV/atom
SG: Pmc2_1, No. 26



Record 6
Below is Sc2CdTc after structural relaxation, with properties calculated at the PBE level.

abc: 7.320 7.986 5.686
angles: 90.00 90.00 90.00
Fractional positions:
Sc1 0.170 0.052 0.148
Sc2 0.170 0.448 0.148
Sc3 0.330 0.552 0.648
Sc4 0.330 0.948 0.648
Sc5 0.670 0.052 0.352
Sc6 0.670 0.448 0.352
Sc7 0.830 0.552 0.852
Sc8 0.830 0.948 0.852
Cd1 0.020 0.250 0.600
Cd2 0.480 0.750 0.100
Cd3 0.520 0.250 0.900
Cd4 0.980 0.750 0.400
Tc1 0.112 0.750 0.907
Tc2 0.388 0.250 0.407
Tc3 0.612 0.750 0.593
Tc4 0.888 0.250 0.093

DFT formation energy: -42 meV per atom
SG: Pnma, No. 62



> What is the formula in the fifth record?

DyAsIrO



> Which formula does entry 4 have?

YEr2Fe7Ni2



What did the fifth record say?
Below is DyAsIrO after structural relaxation, with properties calculated at the PBE level.

abc: 3.140 7.953 5.309
angles: 90.00 90.00 90.00
Fractional positions:
Dy1 0.000 0.127 0.000
Dy2 0.000 0.873 0.500
As1 0.000 0.481 0.688
As2 0.000 0.519 0.188
Ir1 0.500 0.265 0.558
Ir2 0.500 0.735 0.058
O1 0.500 0.054 0.314
O2 0.500 0.946 0.814

DFT total energy: -7.04 eV/atom
SG: Pmc2_1, No. 26